VASP calculation (GGA+U) on a relaxed structure of Li2VF6.

abc: 6.4379 6.4379 6.0358
angles: 90.00 90.00 90.00
With the nearest neighbours (Å) after each atom.
Sites, in units of the cell vectors:
Li: 0.0000 0.5000 0.2500  4 F 1.98
Li: 0.0000 0.5000 0.7500  4 F 1.98
Li: 0.5000 0.0000 0.2500  4 F 1.98
Li: 0.5000 0.0000 0.7500  4 F 1.98
V: 0.0000 0.0000 0.0000  6 F 1.78-1.94
V: 0.5000 0.5000 0.5000  6 F 1.78-1.94
F: 0.0000 0.0000 0.2955  1 V 1.78
F: 0.0000 0.0000 0.7045  1 V 1.78
F: 0.0009 0.3011 0.0000  1 V 1.94, 2 Li 1.98
F: 0.1989 0.4991 0.5000  1 V 1.94, 2 Li 1.98
F: 0.3011 0.9991 0.0000  1 V 1.94, 2 Li 1.98
F: 0.4991 0.8011 0.5000  1 V 1.94, 2 Li 1.98
F: 0.5000 0.5000 0.2045  1 V 1.78
F: 0.5000 0.5000 0.7955  1 V 1.78
F: 0.5009 0.1989 0.5000  1 V 1.94, 2 Li 1.98
F: 0.6989 0.0009 0.0000  1 V 1.94, 2 Li 1.98
F: 0.8011 0.5009 0.5000  1 V 1.94, 2 Li 1.98
F: 0.9991 0.6989 0.0000  1 V 1.94, 2 Li 1.98

**Excess energy over the best structure of this formula in the dataset**: 0.317 eV per formula unit
**SG**: P4/mnc, No. 128
**Total magnetization**: 2.00 μB/cell